MgSnHO | PBE | relaxed

The structure in extended XYZ format:
```
4
Lattice="3.241 0.000 0.000 0.000 3.206 0.000 -0.091 0.000 6.536" Properties=species:S:1:pos:R:3 pbc="T T T"
Mg 0.000 0.000 0.000
Sn 1.624 1.603 2.781
H 3.148 1.603 5.596
O 1.621 0.000 1.132
```

Calculated values
Fermi-level density of states, states/eV/atom: 0.192
Magnetic moment, μB per cell: 0.0
Theoretical density, Mg/m³: 3.91
E above lowest polymorph, eV/atom: 0.205

=====

NaSrAcIr | PBE | relaxed

The structure in extended XYZ format:
```
4
Lattice="3.758 -2.173 0.000 3.758 2.173 0.000 -2.496 0.000 9.774" Properties=species:S:1:pos:R:3 pbc="T T T"
Na 0.000 0.000 0.000
Sr 5.011 0.000 3.261
Ac 2.506 0.000 6.439
Ir 0.001 0.000 4.985
```

Calculated values
Fermi-level density of states, states/eV/atom: 0.636
Magnetic moment, μB per cell: 0.0
Theoretical density, Mg/m³: 5.51
E above lowest polymorph, eV/atom: 0.000

=====

Tc2BO | PBE | relaxed

The structure in extended XYZ format:
```
8
Lattice="-2.322 2.322 4.779 2.322 -2.322 4.779 2.322 2.322 -4.779" Properties=species:S:1:pos:R:3 pbc="T T T"
Tc 3.483 1.110 -1.195
Tc 1.110 1.161 1.195
Tc -1.161 1.212 3.585
Tc 1.212 1.161 5.974
B 2.322 0.000 2.390
B 0.000 0.000 4.779
O 0.000 0.000 0.000
O 0.000 2.322 2.390
```

Calculated values
Uncorrected formation energy, meV/atom: 80
Fermi-level density of states, states/eV/atom: 0.740
Magnetic moment, μB per cell: 1.9
Theoretical density, Mg/m³: 7.18
E above lowest polymorph, eV/atom: 0.000

=====

VRhPb2 | PBE | relaxed

The structure in extended XYZ format:
```
8
Lattice="-2.177 2.177 9.582 2.177 -2.177 9.582 2.177 2.177 -9.582" Properties=species:S:1:pos:R:3 pbc="T T T"
V 0.000 0.000 0.000
V 0.000 2.177 4.791
Rh 2.177 0.000 4.791
Rh 0.000 0.000 9.582
Pb 1.089 -1.066 7.187
Pb 1.112 1.089 2.396
Pb 1.089 3.243 -2.396
Pb 1.066 1.089 11.978
```

Calculated values
Fermi-level density of states, states/eV/atom: 1.378
Magnetic moment, μB per cell: 5.8
Theoretical density, Mg/m³: 10.39
E above lowest polymorph, eV/atom: 0.300

=====

Cd3NiSe | PBE | relaxed

The structure in extended XYZ format:
```
5
Lattice="5.314 0.000 0.000 0.000 5.314 0.000 0.000 0.000 5.314" Properties=species:S:1:pos:R:3 pbc="T T T"
Cd 0.000 0.000 2.657
Cd 0.000 2.657 0.000
Cd 2.657 0.000 0.000
Ni 2.657 2.657 2.657
Se 0.000 0.000 0.000
```

Calculated values
Uncorrected formation energy, meV/atom: 842
Fermi-level density of states, states/eV/atom: 2.209
Magnetic moment, μB per cell: 0.0
Theoretical density, Mg/m³: 5.25
E above lowest polymorph, eV/atom: 0.588

=====

YTm4Lu | PBE | relaxed

The structure in extended XYZ format:
```
6
Lattice="0.000 4.572 4.572 4.572 0.000 4.572 4.572 4.572 0.000" Properties=species:S:1:pos:R:3 pbc="T T T"
Y 0.000 0.000 0.000
Tm 5.716 3.428 3.428
Tm 3.428 5.716 3.428
Tm 3.428 3.428 5.716
Tm 5.716 5.716 5.716
Lu 2.286 2.286 2.286
```

Calculated values
Fermi-level density of states, states/eV/atom: 1.602
Magnetic moment, μB per cell: 0.0
Theoretical density, Mg/m³: 8.16
Electronic total energy, eV/atom: -4.564

=====

TiIn2Au | PBE | relaxed

The structure in extended XYZ format:
```
4
Lattice="3.103 0.000 0.000 0.000 3.103 0.000 0.000 0.000 8.199" Properties=species:S:1:pos:R:3 pbc="T T T"
Ti 0.000 0.000 0.000
In 1.551 1.551 2.028
In 1.551 1.551 6.171
Au 0.000 0.000 4.100
```

Calculated values
Fermi-level density of states, states/eV/atom: 0.536
Magnetic moment, μB per cell: 0.0
Theoretical density, Mg/m³: 9.98
E above lowest polymorph, eV/atom: 0.106

=====

CaRuSe2 | PBE | relaxed

The structure in extended XYZ format:
```
4
Lattice="-1.936 2.928 3.777 1.936 -2.928 3.777 1.936 2.928 -3.777" Properties=species:S:1:pos:R:3 pbc="T T T"
Ca 0.000 0.000 0.000
Ru 0.000 0.000 3.777
Se 1.936 0.000 2.252
Se 0.000 2.928 1.525
```

Calculated values
Uncorrected formation energy, meV/atom: -644
Fermi-level density of states, states/eV/atom: 0.575
Magnetic moment, μB per cell: 0.0
Theoretical density, Mg/m³: 5.80
E above lowest polymorph, eV/atom: 0.232

=====

Ta5Mo4W2 | PBE | relaxed

The structure in extended XYZ format:
```
11
Lattice="10.380 -1.536 0.000 10.380 1.536 0.000 -1.683 0.000 6.287" Properties=species:S:1:pos:R:3 pbc="T T T"
Ta 0.000 0.000 0.000
Ta 6.494 0.000 4.541
Ta 7.458 0.000 1.476
Ta 11.618 0.000 4.811
Ta 12.582 0.000 1.746
Mo 3.403 0.000 3.748
Mo 9.046 0.000 4.197
Mo 10.030 0.000 2.090
Mo 15.673 0.000 2.540
W 4.232 0.000 0.575
W 14.844 0.000 5.712
```

Calculated values
Fermi-level density of states, states/eV/atom: 0.722
Magnetic moment, μB per cell: 0.0
Theoretical density, Mg/m³: 13.71
E above lowest polymorph, eV/atom: 0.000

=====

CaAcRhO4 | PBE | relaxed

The structure in extended XYZ format:
```
14
Lattice="-3.539 3.987 4.029 3.539 -3.987 4.029 3.539 3.987 -4.029" Properties=species:S:1:pos:R:3 pbc="T T T"
Ca 0.000 1.993 0.466
Ca 3.539 1.993 3.563
Ac 3.539 0.000 0.000
Ac 0.000 0.000 4.029
Rh 1.770 1.993 -2.015
Rh 1.770 -1.993 2.015
O 3.539 3.268 -2.429
O 3.539 -0.719 2.429
O 2.118 1.993 0.077
O 4.961 1.993 0.077
O -1.421 1.993 3.952
O 1.421 1.993 3.952
O 0.000 4.706 1.600
O 0.000 0.719 6.458
```

Calculated values
Uncorrected formation energy, meV/atom: -2155
Magnetic moment, μB per cell: 0.0
Theoretical density, Mg/m³: 6.34

=====

Pa8SiRu6 | PBE | relaxed

The structure in extended XYZ format:
```
15
Lattice="4.742 2.738 4.156 -4.742 2.738 4.156 0.000 -5.475 4.156" Properties=species:S:1:pos:R:3 pbc="T T T"
Pa -1.174 -3.093 5.235
Pa -3.265 -0.530 7.233
Pa 0.000 0.000 2.959
Pa -2.092 2.563 5.235
Pa 2.092 -2.563 7.233
Pa 0.000 0.000 9.508
Pa 3.265 0.530 5.235
Pa 1.174 3.093 7.233
Si 0.000 0.000 0.000
Ru -1.687 -0.396 5.058
Ru -0.501 -1.659 7.409
Ru 1.186 -1.263 5.058
Ru -1.186 1.263 7.409
Ru 0.501 1.659 5.058
Ru 1.687 0.396 7.409
```

Calculated values
Uncorrected formation energy, meV/atom: -240
Fermi-level density of states, states/eV/atom: 1.584
Magnetic moment, μB per cell: 0.0
Theoretical density, Mg/m³: 12.74

=====

NaSr3Se4 | PBE | relaxed

The structure in extended XYZ format:
```
8
Lattice="6.261 0.000 0.000 0.000 6.261 0.000 0.000 0.000 6.261" Properties=species:S:1:pos:R:3 pbc="T T T"
Na 0.000 0.000 0.000
Sr 0.000 3.131 3.131
Sr 3.131 0.000 3.131
Sr 3.131 3.131 0.000
Se 0.000 0.000 3.131
Se 0.000 3.131 0.000
Se 3.131 0.000 0.000
Se 3.131 3.131 3.131
```

Calculated values
Uncorrected formation energy, meV/atom: -1652
Fermi-level density of states, states/eV/atom: 0.757
Magnetic moment, μB per cell: 0.9
Theoretical density, Mg/m³: 4.07